Record 1
## Dy3SnH2 (PBE)

Data for a relaxed Dy3SnH2 crystal.

Unit cell a=3.5791 b=6.2715 c=11.8751 alpha=106.73 beta=98.67 gamma=90.00
Last column: nearest neighbours and their distance in Å.
Element x y z (fractional)
Dy 0.2350 0.2518 0.4699  3 H 2.19-2.21
Dy 0.0337 0.7910 0.0674  2 H 2.22-2.26
Dy 0.3951 0.6508 0.7901  3 H 2.24-2.34
Dy 0.7650 0.7482 0.5301  3 H 2.19-2.21
Dy 0.6049 0.3492 0.2099  3 H 2.24-2.34
Dy 0.9663 0.2090 0.9326  2 H 2.22-2.26
Sn 0.3514 0.1182 0.7028  7 Dy 3.08-3.38, 1 H 3.16
Sn 0.6486 0.8818 0.2972  7 Dy 3.08-3.38, 1 H 3.16
H 0.2922 0.5959 0.5845  4 Dy 2.19-2.34
H 0.7078 0.4041 0.4155  4 Dy 2.19-2.34
H 0.9431 0.8339 0.8862  4 Dy 2.22-2.26
H 0.0569 0.1661 0.1138  4 Dy 2.22-2.26

Values from the calculation:
For the calculated volume, the calculation gives 21.01 Å³/atom. For the energy, the calculation gives -54.88 eV per cell.

---

Record 2
## SrTlHg2 (PBE)

Data for a relaxed SrTlHg2 crystal.

Unit cell a=4.0250 b=4.1333 c=7.1565 alpha=90.00 beta=90.00 gamma=90.00
Last column: nearest neighbours and their distance in Å.
Element x y z (fractional)
Hg 0.0000 0.0000 0.0001  4 Tl 3.27, 4 Hg 3.33, 1 Sr 3.47
Hg 0.5000 0.5000 0.2317  1 Tl 3.20, 4 Hg 3.33, 4 Sr 3.40
Sr 0.0000 0.0000 0.4844  6 Hg 3.40-3.69, 4 Tl 3.59
Tl 0.5000 0.5000 0.7838  5 Hg 3.20-3.27

Values from the calculation:
For the calculated volume, the calculation gives 29.76 Å³/atom. Its energy above the most stable polymorph in this dataset is 0.1089 eV per atom.

---

Record 3
## LiSn2Sb (PBE)

Data for a relaxed LiSn2Sb crystal.

Unit cell a=4.7895 b=4.7895 c=6.0221 alpha=66.57 beta=66.57 gamma=60.00
Last column: nearest neighbours and their distance in Å.
Element x y z (fractional)
Li 0.6749 0.6749 0.9753  1 Sb 2.88, 6 Sn 2.89-3.00
Sn 0.0614 0.0614 0.8157  3 Li 2.89, 3 Sb 3.20
Sn 0.2683 0.2683 0.1950  3 Li 3.00, 3 Sb 3.25, 1 Sn 3.32
Sb 0.4954 0.4954 0.5139  1 Li 2.88, 3 Sn 3.20

Values from the calculation:
For the calculated volume, the calculation gives 26.57 Å³/atom. The uncorrected formation energy comes out at -0.04 eV/atom. Its energy above the most stable polymorph in this dataset is 0.1012 eV per atom.

---

Record 4
## Cs6K9Na (PBE)

Data for a relaxed Cs6K9Na crystal.

Unit cell a=12.3743 b=12.3743 c=12.5541 alpha=119.53 beta=119.53 gamma=90.00
Last column: nearest neighbours and their distance in Å.
Element x y z (fractional)
Cs 0.6786 0.8669 0.0000  1 Na 4.30, 2 K 4.74
Cs 0.3214 0.1331 0.0000  1 Na 4.30, 2 K 4.74
Cs 0.8669 0.3214 0.0000  1 Na 4.30, 2 K 4.74
Cs 0.1331 0.6786 0.0000  1 Na 4.30, 2 K 4.74
Cs 0.7735 0.7735 0.5470  1 Na 4.08
Cs 0.2265 0.2265 0.4530  1 Na 4.08
K 0.0061 0.7959 0.3456  3 K 4.57-4.67, 4 Cs 4.74-4.89
K 0.3395 0.5497 0.3456  3 K 4.57-4.67, 4 Cs 4.74-4.89
K 0.7959 0.3395 0.3456  3 K 4.57-4.67, 4 Cs 4.74-4.89
K 0.5497 0.0061 0.3456  3 K 4.57-4.67, 4 Cs 4.74-4.89
K 0.9939 0.2041 0.6544  3 K 4.57-4.67, 4 Cs 4.74-4.89
K 0.6605 0.4503 0.6544  3 K 4.57-4.67, 4 Cs 4.74-4.89
K 0.2041 0.6605 0.6544  3 K 4.57-4.67, 4 Cs 4.74-4.89
K 0.4503 0.9939 0.6544  3 K 4.57-4.67, 4 Cs 4.74-4.89
K 0.5000 0.5000 0.0000  6 Cs 4.92-5.05, 8 K 5.39
Na 0.0000 0.0000 0.0000  6 Cs 4.08-4.30

Values from the calculation:
For the calculated volume, the calculation gives 86.16 Å³/atom. For the energy, the calculation gives -15.83 eV per cell.